Record 1
# AcPmPu

An optimized crystal structure of AcPmPu (PBE-GGA, Alexandria).

Output
The calculation puts the volume at 106.3 Å³/cell. As for the density of states at the Fermi level: 7.5 states/eV/f.u. Its energy relative to the lowest polymorph listed for this composition is 0.00 eV/f.u. The calculation puts the total moment at 2.105 μB per atom.

a b c (Å): 3.7137 3.7137 8.1423
angles (deg): 103.18 103.18 90.00
Last column: nearest neighbours and their distance in Å.
Sites, in units of the cell vectors:
Ac 0.0029 0.0029 0.0058  4 Pu 3.69, 4 Ac 3.71, 4 Pm 3.79
Pm 0.3255 0.3255 0.6510  4 Pu 3.54, 4 Pm 3.71, 4 Ac 3.79
Pu 0.6716 0.6716 0.3431  4 Pm 3.54, 4 Ac 3.69, 4 Pu 3.71



Record 2
# AcPmPu2S4

An optimized crystal structure of AcPmPu2S4 (PBE-GGA, Alexandria).

Output
The calculation puts the volume at 191.2 Å³/cell. As for the density of states at the Fermi level: 17.3 states/eV/f.u. The raw formation energy comes out at -1.870 eV per atom. The calculation puts the total moment at 0.006 μB per atom.

a b c (Å): 4.0607 7.0149 7.1197
angles (deg): 70.55 90.00 90.00
Last column: nearest neighbours and their distance in Å.
Sites, in units of the cell vectors:
Ac 0.5000 0.5000 0.0000  6 S 2.97-2.98
Pm 0.0000 0.5000 0.5000  6 S 2.90
Pu 0.0000 0.0000 0.0000  6 S 2.86-2.88
Pu 0.5000 0.0000 0.5000  6 S 2.78-2.80
S 0.0000 0.7679 0.7342  3 Pu 2.78-2.88, 1 Pm 2.90, 2 Ac 2.98
S 0.0000 0.2321 0.2658  3 Pu 2.78-2.88, 1 Pm 2.90, 2 Ac 2.98
S 0.5000 0.7620 0.2532  3 Pu 2.80-2.86, 2 Pm 2.90, 1 Ac 2.97
S 0.5000 0.2380 0.7468  3 Pu 2.80-2.86, 2 Pm 2.90, 1 Ac 2.97



Record 3
# AcPmPuSb

An optimized crystal structure of AcPmPuSb (PBE-GGA, Alexandria).

Output
The calculation puts the volume at 121.2 Å³/cell. As for the density of states at the Fermi level: 13.5 states/eV/f.u. The raw formation energy comes out at -0.139 eV per atom. The calculation puts the total moment at 1.740 μB per atom.

a b c (Å): 5.5541 5.5541 5.5541
angles (deg): 60.00 60.00 60.00
Last column: nearest neighbours and their distance in Å.
Sites, in units of the cell vectors:
Sb 0.5000 0.5000 0.5000  4 Pu 3.40, 4 Pm 3.40
Ac 0.0000 0.0000 0.0000  4 Pm 3.40, 4 Pu 3.40
Pm 0.2500 0.2500 0.2500  4 Ac 3.40, 4 Sb 3.40
Pu 0.7500 0.7500 0.7500  4 Ac 3.40, 4 Sb 3.40



Record 4
# AcPm2PuSb4

An optimized crystal structure of AcPm2PuSb4 (PBE-GGA, Alexandria).

Output
The calculation puts the volume at 268.6 Å³/cell. As for the density of states at the Fermi level: 17.8 states/eV/f.u. The raw formation energy comes out at -1.014 eV per atom. The calculation puts the total moment at 0.629 μB per atom.

a b c (Å): 4.5633 7.9093 7.8899
angles (deg): 70.58 90.00 90.00
Last column: nearest neighbours and their distance in Å.
Sites, in units of the cell vectors:
Ac 0.5000 0.5000 0.0000  6 Sb 3.30
Pm 0.0000 0.0000 0.0000  6 Sb 3.25
Pm 0.5000 0.0000 0.5000  6 Sb 3.15
Pu 0.0000 0.5000 0.5000  6 Sb 3.20-3.21
Sb 0.0000 0.7597 0.7370  3 Pm 3.15-3.25, 1 Pu 3.20, 2 Ac 3.30
Sb 0.0000 0.2403 0.2630  3 Pm 3.15-3.25, 1 Pu 3.20, 2 Ac 3.30
Sb 0.5000 0.7521 0.2592  3 Pm 3.15-3.25, 2 Pu 3.21, 1 Ac 3.30
Sb 0.5000 0.2479 0.7408  3 Pm 3.15-3.25, 2 Pu 3.21, 1 Ac 3.30



Record 5
# AcPm2PuSe4

An optimized crystal structure of AcPm2PuSe4 (PBE-GGA, Alexandria).

Output
The calculation puts the volume at 218.5 Å³/cell. As for the density of states at the Fermi level: 10.9 states/eV/f.u. The raw formation energy comes out at -1.760 eV per atom. The calculation puts the total moment at 0.737 μB per atom.

a b c (Å): 4.2368 7.3882 7.3924
angles (deg): 109.20 90.00 90.00
Last column: nearest neighbours and their distance in Å.
Sites, in units of the cell vectors:
Ac 0.0000 0.0000 0.0000  6 Se 3.08
Pm 0.5000 0.0000 0.5000  6 Se 3.03
Pm 0.0000 0.5000 0.5000  6 Se 2.94
Pu 0.5000 0.5000 0.0000  6 Se 3.00
Se 0.5000 0.2628 0.2604  3 Pm 2.94-3.03, 1 Pu 3.00, 2 Ac 3.08
Se 0.5000 0.7372 0.7396  3 Pm 2.94-3.03, 1 Pu 3.00, 2 Ac 3.08
Se 0.0000 0.2583 0.7472  3 Pm 2.94-3.03, 2 Pu 3.00, 1 Ac 3.08
Se 0.0000 0.7417 0.2528  3 Pm 2.94-3.03, 2 Pu 3.00, 1 Ac 3.08



Record 6
# Ac4PmPu3Se8

An optimized crystal structure of Ac4PmPu3Se8 (PBE-GGA, Alexandria).

Output
The calculation puts the volume at 455.6 Å³/cell. As for the density of states at the Fermi level: 29.6 states/eV/f.u. The raw formation energy comes out at -1.731 eV per atom. The calculation puts the total moment at 1.110 μB per atom.

a b c (Å): 8.6004 8.6739 8.6004
angles (deg): 119.72 120.00 90.00
Last column: nearest neighbours and their distance in Å.
Sites, in units of the cell vectors:
Ac 0.5000 0.0000 0.0000  6 Se 3.13
Ac 0.5000 0.0000 0.5000  6 Se 3.15
Ac 0.0000 0.0000 0.0000  6 Se 3.15
Ac 0.0000 0.0000 0.5000  6 Se 3.15
Pm 0.0000 0.5000 0.0000  6 Se 2.98
Pu 0.5000 0.5000 0.0000  6 Se 2.96-2.97
Pu 0.5000 0.5000 0.5000  6 Se 2.96-2.97
Pu 0.0000 0.5000 0.5000  6 Se 2.96-2.97
Se 0.2442 0.7298 0.9856  2 Pu 2.97, 1 Pm 2.98, 3 Ac 3.13-3.15
Se 0.2442 0.7298 0.4885  2 Pu 2.97, 1 Pm 2.98, 3 Ac 3.13-3.15
Se 0.2574 0.2722 0.5148  3 Pu 2.96, 3 Ac 3.15
Se 0.7413 0.7298 0.9856  2 Pu 2.97, 1 Pm 2.98, 3 Ac 3.13-3.15
Se 0.2587 0.2702 0.0144  2 Pu 2.97, 1 Pm 2.98, 3 Ac 3.13-3.15
Se 0.7426 0.7278 0.4852  3 Pu 2.96, 3 Ac 3.15
Se 0.7558 0.2702 0.5115  2 Pu 2.97, 1 Pm 2.98, 3 Ac 3.13-3.15
Se 0.7558 0.2702 0.0144  2 Pu 2.97, 1 Pm 2.98, 3 Ac 3.13-3.15